Here is an optimized crystal structure of Y4Ho2Sc3 from the Alexandria database. Energies are from GGA-PBE.

Cell lengths 15.5276, 11.2851, 6.0417 Å; angles 90.00, 94.76, 90.00 degrees
With the nearest neighbours (Å) after each atom.
Space group C2/c (No. 15)
Inequivalent atoms, fractional coordinates:
Y 0.0484 0.1424 0.0090 (multiplicity 8)  1 Ho 3.21, 4 Sc 3.30-3.40, 3 Y 3.36-3.55
Y 0.2142 0.3594 0.8425 (multiplicity 8)  1 Y 3.26, 4 Sc 3.28-3.39, 3 Ho 3.36-3.53
Ho 0.1177 0.3573 0.3245 (multiplicity 8)  4 Y 3.21-3.53, 4 Sc 3.27-3.38
Sc 0.0000 0.4039 0.7500 (multiplicity 4)  4 Ho 3.27-3.32, 4 Y 3.36-3.40
Sc 0.1670 0.0988 0.5823 (multiplicity 8)  6 Y 3.28-3.39, 2 Ho 3.37-3.38

Its energy above the most stable polymorph in this dataset is 0.541 eV per formula unit. The calculation puts the formation energy at 0.1125 eV per atom. Its theoretical density is 5165 kg/m³. The magnetization is 0.00 μB/f.u. The value obtained for the volume is 29.3 A^3/atom. As for the density of states at the Fermi level: 1.50 states/eV/atom.